(1)
Density functional theory data (PBE) for crystalline Tb2As2Rh5 at its relaxed geometry.

VASP energy (eV per cell): -62.49
Energy relative to the elements (eV per atom): -0.797

Lattice parameters (Å, degrees): 4.234 4.234 8.814 90.00 90.00 90.00
Element x y z (fractional)
Tb 0.000 0.000 0.500
Tb 0.000 0.000 0.000
Rh 0.500 0.000 0.268
Rh 0.500 0.500 0.500
Rh 0.000 0.500 0.732
Rh 0.000 0.500 0.268
Rh 0.500 0.000 0.732
As 0.500 0.500 0.146
As 0.500 0.500 0.854

(2)
Density functional theory data (PBE) for crystalline TbAs3Rh5 at its relaxed geometry.

VASP energy (eV per cell): -121.18
Energy relative to the elements (eV per atom): -0.584

Lattice parameters (Å, degrees): 3.895 6.700 12.623 90.00 90.00 106.90
Element x y z (fractional)
Rh 0.203 0.407 0.926
Rh 0.000 0.000 0.000
Rh 0.550 0.099 0.856
Rh 0.203 0.407 0.574
Rh 0.450 0.901 0.356
Rh 0.797 0.593 0.074
Rh 0.550 0.099 0.644
Rh 0.797 0.593 0.426
Rh 0.000 0.000 0.500
Rh 0.450 0.901 0.144
As 0.382 0.765 0.542
As 0.123 0.247 0.750
As 0.618 0.235 0.458
As 0.618 0.235 0.042
As 0.382 0.765 0.958
As 0.877 0.753 0.250
Tb 0.886 0.772 0.750
Tb 0.114 0.228 0.250